Record 1
Density functional theory data (PBE) for a geometry-optimized ZnSi2Ni structure.

Results
For the formation energy without anion corrections, the calculation gives -9 meV/atom. The value obtained for the magnetic moment is 0.0 Bohr magnetons per cell. The calculation puts the total energy at -4.484 eV per atom.

Cell and atoms, written as CIF:
```
data_ZnSi2Ni
_cell_length_a 2.6900
_cell_length_b 2.6900
_cell_length_c 7.4474
_cell_angle_alpha 90.00
_cell_angle_beta 90.00
_cell_angle_gamma 90.00
_symmetry_space_group_name_H-M 'P 4/m m m'
_symmetry_Int_Tables_number 123
_symmetry_space_group_name_Hall '-P 4 2'
loop_
_atom_site_label
_atom_site_fract_x
_atom_site_fract_y
_atom_site_fract_z
Zn1 0.0000 0.0000 0.0000
Si1 0.5000 0.5000 0.2883
Ni1 0.0000 0.0000 0.5000
```

***

Record 2
Density functional theory data (PBE) for a geometry-optimized Mg2In2Cl structure.

Results
For the formation energy without anion corrections, the calculation gives -263 meV/atom. The value obtained for the magnetic moment is 0.0 Bohr magnetons per cell. The calculation puts the total energy at -2.366 eV per atom.

Cell and atoms, written as CIF:
```
data_Mg2In2Cl
_cell_length_a 7.8485
_cell_length_b 7.8485
_cell_length_c 4.1398
_cell_angle_alpha 90.00
_cell_angle_beta 90.00
_cell_angle_gamma 90.00
_symmetry_space_group_name_H-M 'P 4/m b m'
_symmetry_Int_Tables_number 127
_symmetry_space_group_name_Hall '-P 4 2ab'
loop_
_atom_site_label
_atom_site_fract_x
_atom_site_fract_y
_atom_site_fract_z
Mg1 0.1692 0.3308 0.0000
In1 0.1341 0.6341 0.5000
Cl1 0.0000 0.0000 0.0000
```

***

Record 3
Density functional theory data (PBE) for a geometry-optimized Pm2NdCd5 structure.

Results
The calculation puts the formation energy at -320 meV per atom. The value obtained for the magnetic moment is 0.2 Bohr magnetons per cell. The calculation puts the total energy at -2.675 eV per atom.

Cell and atoms, written as CIF:
```
data_Pm2NdCd5
_cell_length_a 5.2303
_cell_length_b 5.2303
_cell_length_c 15.4134
_cell_angle_alpha 90.00
_cell_angle_beta 90.00
_cell_angle_gamma 90.00
_symmetry_space_group_name_H-M 'I 4/m m m'
_symmetry_Int_Tables_number 139
_symmetry_space_group_name_Hall '-I 4 2'
loop_
_atom_site_label
_atom_site_fract_x
_atom_site_fract_y
_atom_site_fract_z
Pm1 0.0000 0.0000 0.2354
Nd1 0.0000 0.0000 0.5000
Cd1 0.0000 0.0000 0.0000
Cd2 0.0000 0.5000 0.1186
```

***

Record 4
Density functional theory data (PBE) for a geometry-optimized NaPrEr structure.

Results
The calculation puts the formation energy at 166 meV per atom. The value obtained for the magnetic moment is 0.0 Bohr magnetons per cell. The calculation puts the total energy at -3.388 eV per atom.

Cell and atoms, written as CIF:
```
data_NaPrEr
_cell_length_a 5.6665
_cell_length_b 5.6665
_cell_length_c 7.2322
_cell_angle_alpha 90.00
_cell_angle_beta 90.00
_cell_angle_gamma 120.00
_symmetry_space_group_name_H-M 'P 6/m m m'
_symmetry_Int_Tables_number 191
_symmetry_space_group_name_Hall '-P 6 2'
loop_
_atom_site_label
_atom_site_fract_x
_atom_site_fract_y
_atom_site_fract_z
Na1 0.3333 0.6667 0.0000
Pr1 0.0000 0.0000 0.2665
Er1 0.3333 0.6667 0.5000
```

***

Record 5
Density functional theory data (PBE) for a geometry-optimized RbPRu structure.

Results
The calculation puts the formation energy at -208 meV per atom. The value obtained for the magnetic moment is 0.0 Bohr magnetons per cell. The calculation puts the total energy at -5.426 eV per atom.

Cell and atoms, written as CIF:
```
data_RbPRu
_cell_length_a 4.3893
_cell_length_b 6.6797
_cell_length_c 6.7758
_cell_angle_alpha 108.64
_cell_angle_beta 90.01
_cell_angle_gamma 90.27
_symmetry_space_group_name_H-M 'P 1'
_symmetry_Int_Tables_number 1
loop_
_symmetry_equiv_pos_as_xyz
'x,y,z'
loop_
_atom_site_label
_atom_site_fract_x
_atom_site_fract_y
_atom_site_fract_z
Rb1 0.0000 0.0000 0.0000
Rb2 0.4985 0.3942 0.5966
P1 0.1827 0.8717 0.4715
P2 0.6801 0.5217 0.1249
Ru1 0.1806 0.5802 0.1878
Ru2 0.6824 0.8134 0.4086
```

***

Record 6
Density functional theory data (PBE) for a geometry-optimized Ce3PaSe4 structure.

Results
For the formation energy without anion corrections, the calculation gives -1654 meV/atom. The value obtained for the magnetic moment is 0.6 Bohr magnetons per cell. The calculation puts the total energy at -6.808 eV per atom.

Cell and atoms, written as CIF:
```
data_Ce3PaSe4
_cell_length_a 7.2046
_cell_length_b 8.3548
_cell_length_c 7.1774
_cell_angle_alpha 90.00
_cell_angle_beta 109.67
_cell_angle_gamma 90.00
_symmetry_space_group_name_H-M 'P 1 2/c 1'
_symmetry_Int_Tables_number 13
loop_
_symmetry_equiv_pos_as_xyz
'x,y,z'
'-x,-y,-z'
'-x,y,-z+1/2'
'x,-y,z+1/2'
loop_
_atom_site_label
_atom_site_fract_x
_atom_site_fract_y
_atom_site_fract_z
Ce1 0.0000 0.1231 0.2500
Ce2 0.0000 0.3753 0.7500
Ce3 0.5000 0.3751 0.2500
Pa1 0.5000 0.1223 0.7500
Se1 0.2528 0.3715 0.5031
Se2 0.2545 0.1240 0.9996
```

***

Record 7
Density functional theory data (PBE) for a geometry-optimized TaNi3C structure.

Results
The calculation puts the formation energy at 195 meV per atom. The value obtained for the magnetic moment is 0.0 Bohr magnetons per cell. The calculation puts the total energy at -7.489 eV per atom.

Cell and atoms, written as CIF:
```
data_TaNi3C
_cell_length_a 3.8420
_cell_length_b 3.8420
_cell_length_c 3.8420
_cell_angle_alpha 90.00
_cell_angle_beta 90.00
_cell_angle_gamma 90.00
_symmetry_space_group_name_H-M 'P m -3 m'
_symmetry_Int_Tables_number 221
_symmetry_space_group_name_Hall '-P 4 2 3'
loop_
_atom_site_label
_atom_site_fract_x
_atom_site_fract_y
_atom_site_fract_z
Ta1 0.0000 0.0000 0.0000
Ni1 0.0000 0.5000 0.5000
C1 0.5000 0.5000 0.5000
```

***

Record 8
Density functional theory data (PBE) for a geometry-optimized BaCaSbF structure.

Results
For the formation energy without anion corrections, the calculation gives -2051 meV/atom. The value obtained for the magnetic moment is 0.0 Bohr magnetons per cell. The calculation puts the total energy at -4.531 eV per atom.

Cell and atoms, written as CIF:
```
data_BaCaSbF
_cell_length_a 4.9577
_cell_length_b 4.9577
_cell_length_c 9.8939
_cell_angle_alpha 90.00
_cell_angle_beta 90.00
_cell_angle_gamma 90.00
_symmetry_space_group_name_H-M 'P 4/n m m'
_symmetry_Int_Tables_number 129
loop_
_symmetry_equiv_pos_as_xyz
'x,y,z'
'-x,-y,-z'
'-y+1/2,x,z'
'y+1/2,-x,-z'
'-x+1/2,-y+1/2,z'
'x+1/2,y+1/2,-z'
'y,-x+1/2,z'
'-y,x+1/2,-z'
'x+1/2,-y,-z'
'-x+1/2,y,z'
'-y,-x,-z'
'y,x,z'
'-x,y+1/2,-z'
'x,-y+1/2,z'
'y+1/2,x+1/2,-z'
'-y+1/2,-x+1/2,z'
loop_
_atom_site_label
_atom_site_fract_x
_atom_site_fract_y
_atom_site_fract_z
Ba1 0.2500 0.2500 0.1191
Ca1 0.2500 0.7500 0.5000
Sb1 0.2500 0.2500 0.6938
F1 0.2500 0.7500 0.0000
```

***

Record 9
Density functional theory data (PBE) for a geometry-optimized Zn2PbW structure.

Results
The calculation puts the formation energy at 598 meV per atom. The value obtained for the magnetic moment is 0.0 Bohr magnetons per cell. The calculation puts the total energy at -4.204 eV per atom.

Cell and atoms, written as CIF:
```
data_Zn2PbW
_cell_length_a 5.7018
_cell_length_b 8.4795
_cell_length_c 2.9724
_cell_angle_alpha 90.00
_cell_angle_beta 90.00
_cell_angle_gamma 90.00
_symmetry_space_group_name_H-M 'C m m m'
_symmetry_Int_Tables_number 65
_symmetry_space_group_name_Hall '-C 2 2'
loop_
_atom_site_label
_atom_site_fract_x
_atom_site_fract_y
_atom_site_fract_z
Zn1 0.2500 0.2500 0.0000
Pb1 0.0000 0.0000 0.5000
W1 0.0000 0.5000 0.5000
```

***

Record 10
Density functional theory data (PBE) for a geometry-optimized RbInAs3 structure.

Results
The calculation puts the formation energy at 1453 meV per atom. The value obtained for the magnetic moment is 0.0 Bohr magnetons per cell. The calculation puts the total energy at -2.077 eV per atom.

Cell and atoms, written as CIF:
```
data_RbInAs3
_cell_length_a 5.7141
_cell_length_b 5.7141
_cell_length_c 5.7141
_cell_angle_alpha 90.00
_cell_angle_beta 90.00
_cell_angle_gamma 90.00
_symmetry_space_group_name_H-M 'P m -3 m'
_symmetry_Int_Tables_number 221
_symmetry_space_group_name_Hall '-P 4 2 3'
loop_
_atom_site_label
_atom_site_fract_x
_atom_site_fract_y
_atom_site_fract_z
Rb1 0.0000 0.0000 0.0000
In1 0.5000 0.5000 0.5000
As1 0.0000 0.0000 0.5000
```

***

Record 11
Density functional theory data (PBE) for a geometry-optimized La3ReF structure.

Results
For the formation energy without anion corrections, the calculation gives -543 meV/atom. The value obtained for the magnetic moment is 0.0 Bohr magnetons per cell. The calculation puts the total energy at -6.363 eV per atom.

Cell and atoms, written as CIF:
```
data_La3ReF
_cell_length_a 4.9525
_cell_length_b 4.9525
_cell_length_c 4.9525
_cell_angle_alpha 90.00
_cell_angle_beta 90.00
_cell_angle_gamma 90.00
_symmetry_space_group_name_H-M 'P m -3 m'
_symmetry_Int_Tables_number 221
_symmetry_space_group_name_Hall '-P 4 2 3'
loop_
_atom_site_label
_atom_site_fract_x
_atom_site_fract_y
_atom_site_fract_z
La1 0.0000 0.0000 0.5000
Re1 0.5000 0.5000 0.5000
F1 0.0000 0.0000 0.0000
```

***

These records have mass density values of 5.6; 4.1; 7.8; 5.5; 3.8; 7.9; 10.8; 4.3; 12.1; 3.8; 8.5 g cm⁻³, in the order they appear.